A:
A plane-wave DFT calculation with PBE was carried out for an optimized crystal structure of AgOsAu2.

a b c (Å): 2.7478 5.0199 4.9641
angles (deg): 90.00 90.00 90.00
Closest atoms and distances in Å follow each position.
Sites, in units of the cell vectors:
Au 0.0000 0.0000 0.0000  6 Au 2.75-2.86, 4 Os 2.84
Au 0.5000 0.5000 0.0000  6 Au 2.75-2.86, 4 Ag 2.84
Ag 0.0000 0.5000 0.5000  2 Ag 2.75, 4 Au 2.84, 4 Os 2.86
Os 0.5000 0.0000 0.5000  2 Os 2.75, 4 Au 2.84, 4 Ag 2.86

Properties
The size of the total moment is 0.00 μB per cell.


B:
A plane-wave DFT calculation with PBE was carried out for an optimized crystal structure of AgOsAu2.

a b c (Å): 4.8138 4.8138 4.8138
angles (deg): 127.27 127.27 77.82
Closest atoms and distances in Å follow each position.
Sites, in units of the cell vectors:
Os 0.2500 0.7500 0.5000  8 Au 2.84, 4 Ag 3.02
Ag 0.7500 0.2500 0.5000  8 Au 2.84, 4 Os 3.02
Au 0.0000 0.0000 0.0000  4 Os 2.84, 4 Ag 2.84, 4 Au 3.02
Au 0.5000 0.5000 0.0000  4 Ag 2.84, 4 Os 2.84, 4 Au 3.02

Properties
The size of the total moment is 1.86 μB per cell.


Which of them is most stable? Easy: A.


A:
A plane-wave DFT calculation with PBE was carried out for an optimized crystal structure of Ag2PAu2.

a b c (Å): 6.6631 6.6631 4.2016
angles (deg): 90.00 90.00 90.00
Closest atoms and distances in Å follow each position.
Sites, in units of the cell vectors:
Ag 0.1533 0.3467 0.0000  2 P 2.53, 2 Au 2.79
Ag 0.3467 0.8467 0.0000  2 P 2.53, 2 Au 2.79
Ag 0.6533 0.1533 0.0000  2 P 2.53, 2 Au 2.79
Ag 0.8467 0.6533 0.0000  2 P 2.53, 2 Au 2.79
P 0.0000 0.0000 0.0000  4 Ag 2.53
P 0.5000 0.5000 0.0000  4 Ag 2.53
Au 0.3488 0.1512 0.5000  6 Ag 2.79-2.92, 1 Au 2.85
Au 0.1512 0.6512 0.5000  6 Ag 2.79-2.92, 1 Au 2.85
Au 0.8488 0.3488 0.5000  6 Ag 2.79-2.92, 1 Au 2.85
Au 0.6512 0.8488 0.5000  6 Ag 2.79-2.92, 1 Au 2.85

Properties
The size of the total moment is 0.00 μB per cell.


B:
A plane-wave DFT calculation with PBE was carried out for an optimized crystal structure of Ag2PAu2.

a b c (Å): 6.5741 6.5741 4.3603
angles (deg): 90.00 90.00 90.00
Closest atoms and distances in Å follow each position.
Sites, in units of the cell vectors:
Ag 0.8461 0.3461 0.5000  6 Au 2.81-2.98, 1 Ag 2.86
Ag 0.6539 0.8461 0.5000  6 Au 2.81-2.98, 1 Ag 2.86
Ag 0.3461 0.1539 0.5000  6 Au 2.81-2.98, 1 Ag 2.86
Ag 0.1539 0.6539 0.5000  6 Au 2.81-2.98, 1 Ag 2.86
Au 0.6556 0.1556 0.0000  2 P 2.48
Au 0.3444 0.8444 0.0000  2 P 2.48
Au 0.8444 0.6556 0.0000  2 P 2.48
Au 0.1556 0.3444 0.0000  2 P 2.48
P 0.5000 0.5000 0.0000  4 Au 2.48
P 0.0000 0.0000 0.0000  4 Au 2.48

Properties
The size of the total moment is 0.00 μB per cell.


Which of them is most stable? Easy: B.


A:
A plane-wave DFT calculation with PBE was carried out for an optimized crystal structure of Ag2P2Au.

a b c (Å): 8.0414 8.0414 2.8277
angles (deg): 90.00 90.00 90.00
Closest atoms and distances in Å follow each position.
Sites, in units of the cell vectors:
Ag 0.8121 0.6879 0.0000  6 P 2.79-2.81, 2 Ag 2.83, 2 Au 2.93
Ag 0.6879 0.1879 0.0000  6 P 2.79-2.81, 2 Ag 2.83, 2 Au 2.93
Ag 0.1879 0.3121 0.0000  6 P 2.79-2.81, 2 Ag 2.83, 2 Au 2.93
Ag 0.3121 0.8121 0.0000  6 P 2.79-2.81, 2 Ag 2.83, 2 Au 2.93
Au 0.5000 0.5000 0.0000  2 Au 2.83, 4 Ag 2.93
Au 0.0000 0.0000 0.0000  2 Au 2.83, 4 Ag 2.93
P 0.1010 0.6010 0.5000  1 P 2.30
P 0.3990 0.1010 0.5000  1 P 2.30
P 0.6010 0.8990 0.5000  1 P 2.30
P 0.8990 0.3990 0.5000  1 P 2.30

Properties
The size of the total moment is 0.00 μB per cell.


B:
A plane-wave DFT calculation with PBE was carried out for an optimized crystal structure of Ag2P2Au.

a b c (Å): 6.3020 6.3020 4.8843
angles (deg): 90.00 90.00 90.00
Closest atoms and distances in Å follow each position.
Sites, in units of the cell vectors:
Au 0.0000 0.0000 0.0000  4 P 2.49
Au 0.5000 0.5000 0.0000  4 P 2.49
Ag 0.1748 0.3252 0.5000  2 P 2.48
Ag 0.3252 0.8252 0.5000  2 P 2.48
Ag 0.8252 0.6748 0.5000  2 P 2.48
Ag 0.6748 0.1748 0.5000  2 P 2.48
P 0.8750 0.6250 0.0000  1 P 2.23, 2 Ag 2.48, 2 Au 2.49
P 0.1250 0.3750 0.0000  1 P 2.23, 2 Ag 2.48, 2 Au 2.49
P 0.3750 0.8750 0.0000  1 P 2.23, 2 Ag 2.48, 2 Au 2.49
P 0.6250 0.1250 0.0000  1 P 2.23, 2 Ag 2.48, 2 Au 2.49

Properties
The size of the total moment is 0.00 μB per cell.


Which of them is most stable? Easy: B.


A:
A plane-wave DFT calculation with PBE was carried out for an optimized crystal structure of AgP2Au.

a b c (Å): 5.1539 5.1539 5.1539
angles (deg): 134.66 134.66 66.07
Closest atoms and distances in Å follow each position.
Sites, in units of the cell vectors:
P 0.0000 0.0000 0.0000  4 Ag 2.81, 4 P 2.93, 4 Au 2.93
P 0.2500 0.7500 0.5000  4 Au 2.81, 4 Ag 2.93, 4 P 2.93
Au 0.7500 0.2500 0.5000  8 P 2.81-2.93, 4 Ag 2.93
Ag 0.5000 0.5000 0.0000  8 P 2.81-2.93, 4 Au 2.93

Properties
The size of the total moment is 0.00 μB per cell.


B:
A plane-wave DFT calculation with PBE was carried out for an optimized crystal structure of AgP2Au.

a b c (Å): 3.7314 4.7786 4.4245
angles (deg): 99.17 90.00 90.00
Closest atoms and distances in Å follow each position.
Sites, in units of the cell vectors:
Ag 0.5000 0.2500 0.2500  4 P 2.68, 2 Au 2.99
Au 0.5000 0.7500 0.7500  4 P 2.50
P 0.0000 0.9178 0.4464  1 P 2.17
P 0.0000 0.5822 0.0536  1 P 2.17

Properties
The size of the total moment is 0.00 μB per cell.


C:
A plane-wave DFT calculation with PBE was carried out for an optimized crystal structure of AgP2Au.

a b c (Å): 5.9375 5.9375 3.5951
angles (deg): 90.51 90.51 35.73
Closest atoms and distances in Å follow each position.
Sites, in units of the cell vectors:
P 0.7739 0.7739 0.8720  1 P 2.21
P 0.9692 0.9692 0.8777  1 P 2.21
Ag 0.5104 0.5104 0.3789  4 P 2.60
Au 0.2465 0.2465 0.3714  4 P 2.58

Properties
The size of the total moment is 0.00 μB per cell.


Which of them is most stable? Easy: B.


A:
A plane-wave DFT calculation with PBE was carried out for an optimized crystal structure of AgPAu3.

a b c (Å): 5.0349 5.0349 5.0349
angles (deg): 90.00 90.00 90.00
Closest atoms and distances in Å follow each position.
Sites, in units of the cell vectors:
Au 0.0000 0.0000 0.5000  2 Ag 2.52
Au 0.5000 0.0000 0.0000  2 Ag 2.52
Au 0.0000 0.5000 0.0000  2 Ag 2.52
Ag 0.0000 0.0000 0.0000  6 Au 2.52
P 0.5000 0.5000 0.5000  12 Au 3.56

Properties
The size of the total moment is 0.66 μB per cell.


B:
A plane-wave DFT calculation with PBE was carried out for an optimized crystal structure of AgPAu3.

a b c (Å): 4.7237 4.7237 4.7237
angles (deg): 90.00 90.00 90.00
Closest atoms and distances in Å follow each position.
Sites, in units of the cell vectors:
Au 0.0000 0.0000 0.5000  2 P 2.36
Au 0.5000 0.0000 0.0000  2 P 2.36
Au 0.0000 0.5000 0.0000  2 P 2.36
Ag 0.5000 0.5000 0.5000  12 Au 3.34
P 0.0000 0.0000 0.0000  6 Au 2.36

Properties
The size of the total moment is 0.00 μB per cell.


Which of them is most stable? Easy: B.


A:
A plane-wave DFT calculation with PBE was carried out for an optimized crystal structure of AgP2Au2.

a b c (Å): 7.0652 7.0652 3.6322
angles (deg): 90.00 90.00 90.00
Closest atoms and distances in Å follow each position.
Sites, in units of the cell vectors:
Ag 0.0000 0.0000 0.0000  4 P 2.60
Ag 0.5000 0.5000 0.0000  4 P 2.60
P 0.8229 0.6771 0.0000  2 Au 2.55, 2 Ag 2.60
P 0.6771 0.1771 0.0000  2 Au 2.55, 2 Ag 2.60
P 0.1771 0.3229 0.0000  2 Au 2.55, 2 Ag 2.60
P 0.3229 0.8229 0.0000  2 Au 2.55, 2 Ag 2.60
Au 0.1440 0.6440 0.5000  2 P 2.55
Au 0.8560 0.3560 0.5000  2 P 2.55
Au 0.6440 0.8560 0.5000  2 P 2.55
Au 0.3560 0.1440 0.5000  2 P 2.55

Properties
The size of the total moment is 0.00 μB per cell.


B:
A plane-wave DFT calculation with PBE was carried out for an optimized crystal structure of AgP2Au2.

a b c (Å): 3.3633 3.3633 8.2129
angles (deg): 78.18 78.18 90.00
Closest atoms and distances in Å follow each position.
Sites, in units of the cell vectors:
Au 0.3996 0.3996 0.2009  4 Ag 2.85, 4 P 2.89, 1 Au 3.16
Au 0.6004 0.6004 0.7991  4 Ag 2.85, 4 P 2.89, 1 Au 3.16
Ag 0.0000 0.0000 0.0000  8 Au 2.85
P 0.2500 0.7500 0.5000  4 P 2.38
P 0.7500 0.2500 0.5000  4 P 2.38

Properties
The size of the total moment is 0.00 μB per cell.


Which of them is most stable? Easy: B.